This record from Alexandria via LeMat-Bulk describes crystalline Si2TeMo at its relaxed geometry. The functional is GGA-PBE.

Cell lengths 3.2985, 4.4313, 4.8304 Å; angles 90.00, 90.00, 90.00 degrees
Positions (direct):
Si1 0.0000 0.0000 0.0000
Si2 0.5000 0.0000 0.5000
Te1 0.0000 0.5000 0.5000
Mo1 0.5000 0.5000 0.0000

The value obtained for the formation energy (no corrections) is 677 meV per atom. Its electronic total energy is -5.5274 eV per atom.



This record from Alexandria via LeMat-Bulk describes crystalline Si2TeMo at its relaxed geometry. The functional is GGA-PBE.

Cell lengths 3.1010, 3.1010, 26.6436 Å; angles 90.00, 90.00, 120.00 degrees
Positions (direct):
Si1 0.0000 0.0000 0.2344
Si2 0.0000 0.0000 0.7656
Si3 0.3333 0.6667 0.4322
Si4 0.3333 0.6667 0.9011
Si5 0.6667 0.3333 0.0989
Si6 0.6667 0.3333 0.5678
Te1 0.0000 0.0000 0.0000
Te2 0.3333 0.6667 0.6667
Te3 0.6667 0.3333 0.3333
Mo1 0.0000 0.0000 0.5000
Mo2 0.3333 0.6667 0.1667
Mo3 0.6667 0.3333 0.8333

The value obtained for the formation energy (no corrections) is 296 meV per atom. Its electronic total energy is -5.9082 eV per atom.



This record from Alexandria via LeMat-Bulk describes crystalline Si2TeMo at its relaxed geometry. The functional is GGA-PBE.

Cell lengths 3.5527, 4.5608, 4.6676 Å; angles 90.00, 95.23, 90.00 degrees
Positions (direct):
Si1 0.0478 0.0000 0.2550
Si2 0.9522 0.0000 0.7450
Te1 0.5000 0.5000 0.0000
Mo1 0.0000 0.5000 0.5000

The value obtained for the formation energy (no corrections) is 435 meV per atom. Its electronic total energy is -5.7697 eV per atom.



This record from Alexandria via LeMat-Bulk describes crystalline SiTeMo2 at its relaxed geometry. The functional is GGA-PBE.

Cell lengths 3.2035, 3.2035, 24.3392 Å; angles 90.00, 90.00, 120.00 degrees
Positions (direct):
Si1 0.0000 0.0000 0.0000
Si2 0.3333 0.6667 0.6667
Si3 0.6667 0.3333 0.3333
Te1 0.0000 0.0000 0.2371
Te2 0.3333 0.6667 0.9038
Te3 0.6667 0.3333 0.5705
Mo1 0.0000 0.0000 0.4871
Mo2 0.0000 0.0000 0.7369
Mo3 0.3333 0.6667 0.1537
Mo4 0.3333 0.6667 0.4036
Mo5 0.6667 0.3333 0.0702
Mo6 0.6667 0.3333 0.8204

The value obtained for the formation energy (no corrections) is 288 meV per atom. The energy above the lowest structure with this stoichiometry is 0.264 eV/atom. Its electronic total energy is -7.2685 eV per atom.



This record from Alexandria via LeMat-Bulk describes crystalline Si2TeMo at its relaxed geometry. The functional is GGA-PBE.

Cell lengths 8.4658, 3.4419, 5.2906 Å; angles 90.00, 94.18, 90.00 degrees
Positions (direct):
Si1 0.2172 0.0000 0.1451
Si2 0.2828 0.5000 0.8549
Si3 0.7172 0.5000 0.1451
Si4 0.7828 0.0000 0.8549
Te1 0.0000 0.0000 0.5000
Te2 0.5000 0.5000 0.5000
Mo1 0.0000 0.5000 0.0000
Mo2 0.5000 0.0000 0.0000

The value obtained for the formation energy (no corrections) is 236 meV per atom. Its electronic total energy is -5.9689 eV per atom.



This record from Alexandria via LeMat-Bulk describes crystalline SiTeMo2 at its relaxed geometry. The functional is GGA-PBE.

Cell lengths 5.9814, 8.3019, 3.0801 Å; angles 90.00, 114.99, 90.00 degrees
Positions (direct):
Si1 0.0000 0.0000 0.0000
Si2 0.5000 0.5000 0.0000
Te1 0.0000 0.5000 0.0000
Te2 0.5000 0.0000 0.0000
Mo1 0.2500 0.2500 0.5000
Mo2 0.2500 0.7500 0.5000
Mo3 0.7500 0.2500 0.5000
Mo4 0.7500 0.7500 0.5000

The value obtained for the formation energy (no corrections) is 561 meV per atom. The energy above the lowest structure with this stoichiometry is 0.537 eV/atom. Its electronic total energy is -6.9958 eV per atom.



This record from Alexandria via LeMat-Bulk describes crystalline SiTe2Mo at its relaxed geometry. The functional is GGA-PBE.

Cell lengths 8.2907, 3.4769, 7.2591 Å; angles 90.00, 99.29, 90.00 degrees
Positions (direct):
Si1 0.0000 0.0000 0.0000
Si2 0.5000 0.5000 0.0000
Te1 0.0540 0.5000 0.6982
Te2 0.2948 0.5000 0.2355
Te3 0.5540 0.0000 0.6982
Te4 0.7948 0.0000 0.2355
Mo1 0.2798 0.0000 0.9324
Mo2 0.7798 0.5000 0.9324

The value obtained for the formation energy (no corrections) is -16 meV per atom. Its electronic total energy is -5.6505 eV per atom.



This record from Alexandria via LeMat-Bulk describes crystalline Si4TeMo at its relaxed geometry. The functional is GGA-PBE.

Cell lengths 5.1765, 5.1765, 5.1765 Å; angles 60.00, 60.00, 60.00 degrees
Positions (direct):
Si1 0.1251 0.1251 0.1251
Si2 0.1251 0.1251 0.6246
Si3 0.1251 0.6246 0.1251
Si4 0.6246 0.1251 0.1251
Te1 0.7500 0.7500 0.7500
Mo1 0.5000 0.5000 0.5000

The value obtained for the formation energy (no corrections) is 654 meV per atom. Its electronic total energy is -5.2897 eV per atom.